[1]
Na3NbOs: relaxed, PBE.

Space-group type: No. 221
E_form: 2346 meV/atom
Mass density: 4.143 g/cm3
Energy above the lowest structure with this stoichiometry: 0.00 eV/f.u.

a = 5.2065 Å, b = 5.2065 Å, c = 5.2065 Å
α = 90.00°, β = 90.00°, γ = 90.00°
Sites, in units of the cell vectors:
1 Na 0.0000 0.0000 0.5000
2 Na 0.0000 0.5000 0.0000
3 Na 0.5000 0.0000 0.0000
4 Nb 0.5000 0.5000 0.5000
5 Os 0.0000 0.0000 0.0000

[2]
Rb3ErF7: relaxed, PBE.

Space-group type: No. 8
Formation energy from raw total energies: -3.04 eV/atom
Mass density: 4.045 g/cm3

a = 6.8234 Å, b = 6.8234 Å, c = 6.5733 Å
α = 117.38°, β = 117.38°, γ = 92.43°
Sites, in units of the cell vectors:
1 Rb 0.0000 0.0000 0.0000
2 Rb 0.3042 0.7676 0.5317
3 Rb 0.7676 0.3042 0.5317
4 Er 0.4827 0.4827 0.9813
5 F 0.2052 0.2052 0.5699
6 F 0.2198 0.6601 0.9130
7 F 0.3531 0.3531 0.1559
8 F 0.6316 0.8403 0.3860
9 F 0.6450 0.6450 0.8589
10 F 0.6601 0.2198 0.9130
11 F 0.8403 0.6316 0.3860

[3]
LiCaGePd2: relaxed, PBE.

Space-group type: No. 123
E_form: -404 meV/atom
Mass density: 5.264 g/cm3

a = 4.7719 Å, b = 4.7719 Å, c = 4.6065 Å
α = 90.00°, β = 90.00°, γ = 90.00°
Sites, in units of the cell vectors:
1 Li 0.0000 0.0000 0.0000
2 Ca 0.5000 0.5000 0.0000
3 Ge 0.0000 0.0000 0.5000
4 Pd 0.0000 0.5000 0.5000
5 Pd 0.5000 0.0000 0.5000

[4]
AlSiSb2Pt: relaxed, PBE.

Space-group type: No. 123
Formation energy from raw total energies: 0.43 eV/atom
Mass density: 6.126 g/cm3

a = 5.4784 Å, b = 5.4784 Å, c = 4.4583 Å
α = 90.00°, β = 90.00°, γ = 90.00°
Sites, in units of the cell vectors:
1 Al 0.0000 0.0000 0.0000
2 Si 0.5000 0.5000 0.0000
3 Sb 0.0000 0.5000 0.5000
4 Sb 0.5000 0.0000 0.5000
5 Pt 0.5000 0.5000 0.5000